Version A
Material: Re2NiIr
Method: DFT, PBE
State: optimized geometry

```
4
Lattice="5.292 -0.015 0.004 2.738 4.529 -0.004 -3.447 -3.268 2.334" Properties=species:S:1:pos:R:3 pbc="T T T"
Re 2.876 -0.543 1.169
Ni 1.656 1.761 1.165
Re 0.245 0.138 0.000
Ir 3.821 2.148 0.000
```

Computed properties:
Space group: Imm2
Crystal system: orthorhombic
DOS(E_F) (states/eV/f.u.): 4.026

---

Version B
Material: Re2NiIr
Method: DFT, PBE
State: optimized geometry

```
4
Lattice="-2.269 -0.997 1.139 1.482 -1.045 2.038 -0.850 6.374 3.887" Properties=species:S:1:pos:R:3 pbc="T T T"
Re -0.615 0.636 2.598
Re -0.833 6.248 3.810
Ir -0.428 3.210 1.958
Ni -1.036 3.798 4.527
```

Computed properties:
Space group: P4mm
Crystal system: tetragonal
DOS(E_F) (states/eV/f.u.): 4.215

---

Version C
Material: Re2NiIr
Method: DFT, PBE
State: optimized geometry

```
4
Lattice="-2.796 0.722 3.637 -3.999 -2.227 -0.784 4.399 -1.472 -0.215" Properties=species:S:1:pos:R:3 pbc="T T T"
Ni -0.897 -0.751 2.424
Ir -3.397 -0.753 1.427
Re 0.000 0.000 0.000
Re -1.499 -2.226 0.214
```

Computed properties:
Space group: I-4m2
Crystal system: tetragonal
DOS(E_F) (states/eV/f.u.): 4.185

---

Version D
Material: Re2NiIr
Method: DFT, PBE
State: optimized geometry

```
4
Lattice="4.319 0.000 0.000 0.000 2.708 -0.001 0.000 0.002 4.744" Properties=species:S:1:pos:R:3 pbc="T T T"
Re 2.160 0.339 1.345
Re 0.000 0.340 4.534
Ni 2.160 1.694 3.745
Ir 0.000 1.694 2.234
```

Computed properties:
Space group: Pmm2
Crystal system: orthorhombic
DOS(E_F) (states/eV/f.u.): 2.283

---

Which of them is least stable? Easy: version A.

---

Version A
Material: Re2NiIr
Method: DFT, PBE
State: optimized geometry

```
4
Lattice="4.720 -0.001 -0.004 3.933 2.609 -0.004 0.762 0.230 4.554" Properties=species:S:1:pos:R:3 pbc="T T T"
Ni 2.354 0.709 1.136
Re 0.022 0.007 0.004
Ir 7.061 2.128 3.409
Re 4.685 1.412 2.269
```

Computed properties:
Space group: C2/m
Crystal system: monoclinic
DOS(E_F) (states/eV/f.u.): 3.874

---

Version B
Material: Re2NiIr
Method: DFT, PBE
State: optimized geometry

```
4
Lattice="2.710 0.012 0.000 -0.012 2.710 0.000 0.000 0.000 7.530" Properties=species:S:1:pos:R:3 pbc="T T T"
Ni 1.349 1.361 5.648
Ir 1.349 1.361 1.883
Re 0.000 0.000 3.866
Re 0.000 0.000 7.429
```

Computed properties:
Space group: P4/mmm
Crystal system: tetragonal
DOS(E_F) (states/eV/f.u.): 4.462

---

Which of them is least stable? Easy: version A.

---

Version A
Material: ReNi2Ir
Method: DFT, PBE
State: optimized geometry

```
4
Lattice="2.688 0.000 0.000 0.000 2.688 0.000 0.000 0.000 7.157" Properties=species:S:1:pos:R:3 pbc="T T T"
Ir 1.344 1.344 5.419
Ni 0.000 0.000 0.088
Ni 1.344 1.344 1.735
Re 0.000 0.000 3.493
```

Computed properties:
Space group: P4mm
Crystal system: tetragonal
DOS(E_F) (states/eV/f.u.): 4.537

---

Version B
Material: ReNi2Ir
Method: DFT, PBE
State: optimized geometry

```
4
Lattice="-1.006 4.146 -1.603 -4.515 0.618 0.076 2.935 -1.401 3.193" Properties=species:S:1:pos:R:3 pbc="T T T"
Ni -2.760 2.382 -0.764
Re -2.170 0.800 1.253
Ni -5.521 4.764 -1.527
Ir -0.415 2.564 0.413
```

Computed properties:
Space group: I4/mmm
Crystal system: tetragonal
DOS(E_F) (states/eV/f.u.): 2.950

---

Version C
Material: ReNi2Ir
Method: DFT, PBE
State: optimized geometry

```
4
Lattice="-3.019 0.649 2.082 1.477 -0.278 2.229 2.518 4.781 2.161" Properties=species:S:1:pos:R:3 pbc="T T T"
Ni -0.521 1.407 2.137
Ir 1.487 3.693 4.336
Ni 1.493 -0.200 2.227
Re 1.991 2.226 2.194
```

Computed properties:
Space group: Pm
Crystal system: monoclinic
DOS(E_F) (states/eV/f.u.): 3.462

---

Which of them is least stable? Easy: version B.

---

Version A
Material: Re3NiIr
Method: DFT, PBE
State: optimized geometry

```
5
Lattice="-1.763 4.009 -1.658 -0.906 -2.090 -4.091 -4.242 -1.219 1.563" Properties=species:S:1:pos:R:3 pbc="T T T"
Re -0.453 -1.045 -2.045
Re -2.121 -0.610 0.781
Re -0.881 2.004 -0.829
Ir 0.000 0.000 0.000
Ni -3.455 0.350 -2.093
```

Computed properties:
Space group: Pm-3m
Crystal system: cubic
DOS(E_F) (states/eV/f.u.): 7.313

---

Version B
Material: Re3NiIr
Method: DFT, PBE
State: optimized geometry

```
5
Lattice="-1.160 4.122 -0.773 -4.174 -1.214 -0.209 -0.414 0.685 4.277" Properties=species:S:1:pos:R:3 pbc="T T T"
Re -0.207 0.343 2.139
Re -0.580 2.061 -0.386
Ni 0.000 0.000 0.000
Ir -2.874 1.797 1.648
Re -2.087 -0.607 -0.105
```

Computed properties:
Space group: Pm-3m
Crystal system: cubic
DOS(E_F) (states/eV/f.u.): 7.592

---

Which of them is least stable? Easy: version A.

---

Version A
Material: ReNi4Ir
Method: DFT, PBE
State: optimized geometry

```
12
Lattice="-1.658 -0.451 4.666 2.657 2.021 4.160 -1.337 7.188 2.478" Properties=species:S:1:pos:R:3 pbc="T T T"
Re 0.466 8.206 6.811
Ni -1.215 2.877 5.320
Ni -1.615 5.215 6.179
Ni 1.276 3.543 5.126
Re -0.805 0.552 4.493
Ir -0.877 7.224 4.722
Ir 0.538 1.535 6.582
Ni -0.464 4.854 3.877
Ni 0.125 3.905 7.427
Ni -0.057 2.554 3.071
Ni 0.877 5.882 5.984
Ni -0.282 6.205 8.233
```

Computed properties:
Space group: P-1
Crystal system: triclinic
DOS(E_F) (states/eV/f.u.): 8.866

---

Version B
Material: ReNi4Ir
Method: DFT, PBE
State: optimized geometry

```
12
Lattice="-0.929 -3.781 0.925 2.649 -2.074 -5.818 5.876 1.222 2.240" Properties=species:S:1:pos:R:3 pbc="T T T"
Ni 1.996 -3.504 -3.664
Ni 2.835 -0.495 0.823
Ni 5.600 -1.129 1.012
Ni 0.000 0.000 0.000
Ir 3.985 -2.877 0.899
Ir 3.612 -1.756 -3.552
Ni 1.325 -1.037 -2.909
Ni 4.761 -4.138 -3.476
Ni 3.876 -3.445 -1.533
Re 1.768 -2.603 -0.208
Re 5.828 -2.030 -2.445
Ni 3.720 -1.188 -1.120
```

Computed properties:
Space group: Cmcm
Crystal system: orthorhombic
DOS(E_F) (states/eV/f.u.): 9.014

---

Which of them is least stable? Easy: version B.

---

Version A
Material: NiIr4Rh
Method: DFT, PBE
State: optimized geometry

```
12
Lattice="-0.836 0.936 -2.425 6.144 -3.129 -1.790 -4.267 -7.553 -1.445" Properties=species:S:1:pos:R:3 pbc="T T T"
Ir -0.884 -4.522 -1.441
Ir 0.350 -2.447 -2.603
Ir 4.156 -4.210 -4.596
Ir 0.534 -7.574 -3.109
Ir -3.266 -5.802 -1.114
Rh 2.633 -3.792 -2.373
Ni 0.537 -4.940 -3.630
Rh -1.758 -6.246 -3.343
Ni 2.461 -1.340 -1.366
Ir 0.165 0.027 -1.584
Ir 2.857 -6.265 -3.405
Ir 3.910 -1.708 -3.545
```

Computed properties:
Space group: Cmc2_1
Crystal system: orthorhombic
DOS(E_F) (states/eV/f.u.): 7.860

---

Version B
Material: NiIr4Rh
Method: DFT, PBE
State: optimized geometry

```
6
Lattice="0.000 3.617 3.617 3.617 0.000 3.617 3.617 3.617 0.000" Properties=species:S:1:pos:R:3 pbc="T T T"
Ir 2.713 2.713 2.713
Ir 2.713 4.520 4.520
Ni 5.425 5.425 5.425
Rh 0.000 0.000 0.000
Ir 4.520 4.520 2.713
Ir 4.520 2.713 4.520
```

Computed properties:
Space group: F-43m
Crystal system: cubic
DOS(E_F) (states/eV/f.u.): 12.793

---

Which of them is least stable? Easy: version B.